ReNi2Pb: relaxed, GGA-PBEsol.

```
ReNi2Pb
1.0
-0.809 -2.742 0.708
3.248 -1.606 -2.510
1.494 2.265 4.354
Ni Pb Re
2 1 1
Direct
0.987 0.987 0.973
0.264 0.764 0.528
0.514 0.514 0.027
0.736 0.236 0.471
```

Summary:
* energy relative to the elements: 0.561 eV/atom
* ρ: 14.88 g/cm3
* space group: Imm2 (44)